# 1
! AsCl2F, relaxed, DFT PBE; values from VASP
! N(E_F) ... 0.000 states/eV/f.u.
&SYSTEM
  ibrav = 0, nat = 4, ntyp = 3
/
ATOMIC_SPECIES
As 74.92 As.upf
F 19.00 F.upf
Cl 35.45 Cl.upf
CELL_PARAMETERS angstrom
-7.821 -1.639 -0.498
-7.482 -0.320 2.832
-7.773 1.919 0.032
ATOMIC_POSITIONS angstrom
As -11.538 -0.020 1.183
F 0.000 0.000 0.000
Cl -20.854 -0.036 2.138
Cl -2.222 -0.004 0.228

=====

# 2
! AsCl2F3, relaxed, DFT PBE; values from VASP
! N(E_F) ... 0.000 states/eV/f.u.
&SYSTEM
  ibrav = 0, nat = 24, ntyp = 3
/
ATOMIC_SPECIES
As 74.92 As.upf
Cl 35.45 Cl.upf
F 19.00 F.upf
CELL_PARAMETERS angstrom
-8.123 3.511 -1.456
-2.204 -7.149 -4.946
-2.230 -2.968 5.283
ATOMIC_POSITIONS angstrom
As -6.643 0.846 -2.329
As -3.683 -4.484 -4.074
As -4.062 -2.880 1.907
As -8.494 -3.726 -3.027
Cl -8.262 -0.121 2.842
Cl -8.639 -2.999 1.066
Cl -7.076 -6.429 -0.202
Cl -3.905 -7.350 0.619
Cl -4.294 -6.485 -3.961
Cl -3.918 -3.607 -2.185
Cl -5.480 -0.177 -0.918
Cl -8.651 0.744 -1.738
F -3.444 -2.058 0.444
F -9.112 -4.548 -1.563
F -4.671 -3.691 3.350
F -7.885 -2.915 -4.469
F -3.196 -1.699 2.917
F -4.917 -4.047 0.872
F -5.487 -1.816 1.884
F -2.626 -3.930 1.904
F -9.360 -4.907 -4.036
F -7.640 -2.559 -1.991
F -7.069 -4.790 -3.003
F -9.930 -2.676 -3.023

=====

# 3
! As2Cl2F, relaxed, DFT PBE; values from VASP
! N(E_F) ... 1.716 states/eV/f.u.
&SYSTEM
  ibrav = 0, nat = 5, ntyp = 3
/
ATOMIC_SPECIES
As 74.92 As.upf
F 19.00 F.upf
Cl 35.45 Cl.upf
CELL_PARAMETERS angstrom
-2.670 0.116 4.703
-0.220 -5.405 0.009
1.573 -2.765 4.073
ATOMIC_POSITIONS angstrom
As -0.325 -2.689 2.993
As -0.992 -5.364 5.791
F 0.000 0.000 0.000
Cl -1.271 -2.646 5.565
Cl -0.046 -5.407 3.218

=====

# 4
! As2ClF, relaxed, DFT PBE; values from VASP
! N(E_F) ... 4.905 states/eV/f.u.
&SYSTEM
  ibrav = 0, nat = 4, ntyp = 3
/
ATOMIC_SPECIES
As 74.92 As.upf
F 19.00 F.upf
Cl 35.45 Cl.upf
CELL_PARAMETERS angstrom
0.000 3.244 3.244
3.244 0.000 3.244
3.244 3.244 0.000
ATOMIC_POSITIONS angstrom
As 1.622 1.622 1.622
As 4.866 4.866 4.866
F 0.000 0.000 0.000
Cl 3.244 3.244 3.244

=====

# 5
## AsCl3F6 (PBE)

Data for AsCl3F6 after structural relaxation. Values from VASP.

Structure (Quantum ESPRESSO input):
```
&SYSTEM
  ibrav = 0, nat = 10, ntyp = 3
/
ATOMIC_SPECIES
As 74.92 As.upf
Cl 35.45 Cl.upf
F 19.00 F.upf
CELL_PARAMETERS angstrom
6.423 0.000 0.000
-3.212 5.397 -0.577
0.000 0.208 5.509
ATOMIC_POSITIONS angstrom
As 3.212 0.104 2.755
Cl 3.212 3.556 0.464
Cl 0.000 2.048 4.468
Cl 0.000 0.000 0.000
F 4.473 1.090 1.974
F 1.262 4.514 2.958
F -1.262 4.514 2.958
F 1.950 1.090 1.974
F 0.000 4.396 0.794
F 3.212 1.208 4.138
```

=====

# 6
! AsCl2F, relaxed, DFT PBE; values from VASP
! N(E_F) ... 0.000 states/eV/f.u.
&SYSTEM
  ibrav = 0, nat = 4, ntyp = 3
/
ATOMIC_SPECIES
As 74.92 As.upf
Cl 35.45 Cl.upf
F 19.00 F.upf
CELL_PARAMETERS angstrom
-2.945 0.424 -2.905
-2.844 -5.178 -0.841
-5.079 1.935 2.464
ATOMIC_POSITIONS angstrom
As -5.774 -0.327 -0.138
Cl -2.173 -1.843 -1.042
Cl -7.909 -3.477 -1.402
F -4.272 -0.633 1.271

=====

# 7
! AsClF2, relaxed, DFT PBE; values from VASP
! N(E_F) ... 0.000 states/eV/f.u.
&SYSTEM
  ibrav = 0, nat = 4, ntyp = 3
/
ATOMIC_SPECIES
As 74.92 As.upf
Cl 35.45 Cl.upf
F 19.00 F.upf
CELL_PARAMETERS angstrom
-1.824 4.213 1.948
-2.375 1.127 -3.791
-3.536 -2.097 2.093
ATOMIC_POSITIONS angstrom
As -4.047 1.122 1.037
Cl -3.095 -0.872 -0.142
F -1.914 2.336 -0.419
F -5.432 1.988 -1.304

=====

# 8
! AsClF2, relaxed, DFT PBE; values from VASP
! N(E_F) ... 0.000 states/eV/f.u.
&SYSTEM
  ibrav = 0, nat = 4, ntyp = 3
/
ATOMIC_SPECIES
As 74.92 As.upf
F 19.00 F.upf
Cl 35.45 Cl.upf
CELL_PARAMETERS angstrom
0.000 2.976 2.976
2.976 0.000 2.976
2.976 2.976 0.000
ATOMIC_POSITIONS angstrom
As 2.976 2.976 2.976
F 1.488 1.488 1.488
F 4.464 4.464 4.464
Cl 0.000 0.000 0.000

=====

Record order is preserved below.
Magnetization: 0.000, 0.007, 0.000, 0.000, 0.181, 0.000, 0.000, 0.000 μB/atom
Record order is preserved below.
Energy relative to the elements, uncorrected: -0.197, -1.469, -0.336, 0.198, -1.248, -1.131, -1.599, -0.535 eV per atom